A | Here is an optimized crystal structure of Fe2TcMo from the Alexandria database. Energies are from GGA-PBE.

a b c (Å): 2.590 2.590 8.491
angles (deg): 90.00 90.00 106.73
Site moments in Bohr magnetons follow the coordinates.
Sites, in units of the cell vectors:
1 Fe 0.000 0.000 0.503  2.47
2 Mo 0.500 0.500 0.250  -0.06
3 Tc 0.500 0.500 0.750  0.10
4 Fe 0.000 0.000 0.997  2.47

V (A^3/atom): 13.636
Density (g/cm3): 9.3
Space group: Cmmm, No. 65



B | Here is an optimized crystal structure of Fe2TcMo from the Alexandria database. Energies are from GGA-PBE.

a b c (Å): 4.583 4.583 4.583
angles (deg): 131.30 131.30 71.34
Site moments in Bohr magnetons follow the coordinates.
Sites, in units of the cell vectors:
1 Tc 0.750 0.250 0.500  0.21
2 Fe 0.000 0.000 0.000  -1.92
3 Fe 0.250 0.750 0.500  1.95
4 Mo 0.500 0.500 0.000  -0.20

V (A^3/atom): 13.295
Density (g/cm3): 9.5
Space group: I-4m2, No. 119



C | Here is an optimized crystal structure of Fe2TcMo from the Alexandria database. Energies are from GGA-PBE.

a b c (Å): 4.216 4.216 3.023
angles (deg): 90.00 90.00 90.00
Site moments in Bohr magnetons follow the coordinates.
Sites, in units of the cell vectors:
1 Fe 0.500 0.500 0.000  2.22
2 Tc 0.000 0.500 0.500  0.43
3 Mo 0.500 0.000 0.500  -0.25
4 Fe 0.000 0.000 0.000  2.22

V (A^3/atom): 13.433
Density (g/cm3): 9.4
Space group: P4/mmm, No. 123



D | Here is an optimized crystal structure of Fe2TcMo from the Alexandria database. Energies are from GGA-PBE.

a b c (Å): 3.099 4.155 4.225
angles (deg): 90.00 90.00 90.00
Site moments in Bohr magnetons follow the coordinates.
Sites, in units of the cell vectors:
1 Fe 0.000 0.000 0.000  2.26
2 Mo 0.500 0.000 0.500  -0.22
3 Fe 0.500 0.500 0.000  2.57
4 Tc 0.000 0.500 0.500  0.19

V (A^3/atom): 13.600
Density (g/cm3): 9.3
Space group: Pmmm, No. 47



Q: What are the energies relative to the best structure? A: A 30; B 19; C 50; D 0, in meV per atom.



A | Here is an optimized crystal structure of Fe2TcMo from the Alexandria database. Energies are from GGA-PBE.

a b c (Å): 4.237 2.593 5.080
angles (deg): 77.44 90.00 90.00
Site moments in Bohr magnetons follow the coordinates.
Sites, in units of the cell vectors:
1 Fe 0.000 0.498 0.502  2.45
2 Tc 0.500 0.750 0.750  0.12
3 Fe 0.000 0.002 0.998  2.45
4 Mo 0.500 0.250 0.250  -0.12

V (A^3/atom): 13.619
Density (g/cm3): 9.3
Space group: P2/m, No. 10



B | Here is an optimized crystal structure of Fe2TcMo from the Alexandria database. Energies are from GGA-PBE.

a b c (Å): 4.549 4.549 4.584
angles (deg): 80.74 80.74 33.87
Site moments in Bohr magnetons follow the coordinates.
Sites, in units of the cell vectors:
1 Mo 0.505 0.505 0.477  -0.19
2 Fe 0.258 0.258 0.249  1.34
3 Fe 0.996 0.996 0.990  0.91
4 Tc 0.741 0.741 0.784  -0.10

V (A^3/atom): 13.027
Density (g/cm3): 9.7
Space group: Cm, No. 8



Q: What are the energies relative to the best structure? A: A 0; B 34, in meV per atom.



A | Here is an optimized crystal structure of FeTcMo2 from the Alexandria database. Energies are from GGA-PBE.

a b c (Å): 4.354 4.354 4.354
angles (deg): 60.00 60.00 60.00
Site moments in Bohr magnetons follow the coordinates.
Sites, in units of the cell vectors:
1 Mo 0.250 0.250 0.250  0.12
2 Fe 0.000 0.000 0.000  2.16
3 Tc 0.500 0.500 0.500  0.05
4 Mo 0.750 0.750 0.750  0.12

V (A^3/atom): 14.588
Density (g/cm3): 9.8
Space group: Fm-3m, No. 225



B | Here is an optimized crystal structure of FeTcMo2 from the Alexandria database. Energies are from GGA-PBE.

a b c (Å): 2.674 2.674 8.603
angles (deg): 90.00 90.00 108.43
Site moments in Bohr magnetons follow the coordinates.
Sites, in units of the cell vectors:
1 Tc 0.500 0.500 0.250  -0.06
2 Fe 0.500 0.500 0.750  2.29
3 Mo 0.000 0.000 0.509  -0.03
4 Mo 0.000 0.000 0.991  -0.03

V (A^3/atom): 14.591
Density (g/cm3): 9.8
Space group: Cmmm, No. 65



Q: What are the energies relative to the best structure? A: A 33; B 0, in meV per atom.



A | Here is an optimized crystal structure of FeTcMo2 from the Alexandria database. Energies are from GGA-PBE.

a b c (Å): 5.086 5.086 5.086
angles (deg): 144.19 129.51 63.44
Site moments in Bohr magnetons follow the coordinates.
Sites, in units of the cell vectors:
1 Mo 0.752 0.252 0.500  0.04
2 Fe 0.247 0.747 0.500  2.39
3 Mo 0.998 0.998 0.000  -0.02
4 Tc 0.503 0.503 0.000  0.12

V (A^3/atom): 14.677
Density (g/cm3): 9.8
Space group: Imm2, No. 44



B | Here is an optimized crystal structure of FeTcMo2 from the Alexandria database. Energies are from GGA-PBE.

a b c (Å): 3.127 3.127 5.977
angles (deg): 90.00 90.00 90.00
Site moments in Bohr magnetons follow the coordinates.
Sites, in units of the cell vectors:
1 Tc 0.000 0.000 0.506  0.26
2 Mo 0.500 0.500 0.257  0.01
3 Fe 0.500 0.500 0.754  2.29
4 Mo 0.000 0.000 0.983  -0.14

V (A^3/atom): 14.608
Density (g/cm3): 9.8
Space group: P4mm, No. 99



Q: What are the energies relative to the best structure? A: A 15; B 0, in meV per atom.



A | Here is an optimized crystal structure of FeTcMo2 from the Alexandria database. Energies are from GGA-PBE.

a b c (Å): 4.302 4.302 3.156
angles (deg): 90.00 90.00 90.00
Site moments in Bohr magnetons follow the coordinates.
Sites, in units of the cell vectors:
1 Tc 0.500 0.000 0.500  -0.01
2 Fe 0.000 0.500 0.500  2.23
3 Mo 0.000 0.000 0.000  0.10
4 Mo 0.500 0.500 0.000  0.10

V (A^3/atom): 14.603
Density (g/cm3): 9.8
Space group: P4/mmm, No. 123



B | Here is an optimized crystal structure of FeTcMo2 from the Alexandria database. Energies are from GGA-PBE.

a b c (Å): 4.726 4.726 2.751
angles (deg): 90.00 90.00 109.15
Site moments in Bohr magnetons follow the coordinates.
Sites, in units of the cell vectors:
1 Tc 0.500 0.000 0.500  -0.01
2 Mo 0.000 0.000 0.000  -0.12
3 Fe 0.000 0.500 0.500  1.69
4 Mo 0.500 0.500 0.000  -0.12

V (A^3/atom): 14.510
Density (g/cm3): 9.9
Space group: Cmmm, No. 65



C | Here is an optimized crystal structure of FeTcMo2 from the Alexandria database. Energies are from GGA-PBE.

a b c (Å): 9.036 9.036 9.036
angles (deg): 17.54 17.54 17.54
Site moments in Bohr magnetons follow the coordinates.
Sites, in units of the cell vectors:
1 Tc 0.250 0.250 0.250  0.17
2 Mo 0.498 0.498 0.498  -0.05
3 Fe 0.750 0.750 0.750  2.03
4 Mo 0.002 0.002 0.002  -0.05

V (A^3/atom): 14.617
Density (g/cm3): 9.8
Space group: R-3m, No. 166



Q: What are the energies relative to the best structure? A: A 0; B 79; C 134, in meV per atom.



A | Here is an optimized crystal structure of FeTcMo2 from the Alexandria database. Energies are from GGA-PBE.

a b c (Å): 6.875 6.875 5.513
angles (deg): 51.43 51.43 90.00
Site moments in Bohr magnetons follow the coordinates.
Sites, in units of the cell vectors:
1 Mo 0.610 0.125 0.250  -0.18
2 Mo 0.140 0.625 0.250  -0.17
3 Tc 0.750 0.250 0.500  0.25
4 Fe 0.250 0.750 0.500  1.55
5 Mo 0.375 0.390 0.750  -0.18
6 Tc 0.000 0.000 0.000  0.25
7 Mo 0.875 0.860 0.750  -0.16
8 Fe 0.500 0.500 0.000  1.55

V (A^3/atom): 15.365
Density (g/cm3): 9.3
Space group: I-42d, No. 122



B | Here is an optimized crystal structure of FeTcMo2 from the Alexandria database. Energies are from GGA-PBE.

a b c (Å): 5.077 5.077 5.077
angles (deg): 143.95 129.76 63.38
Site moments in Bohr magnetons follow the coordinates.
Sites, in units of the cell vectors:
1 Fe 0.250 0.750 0.500  2.40
2 Mo 0.501 0.501 0.000  -0.01
3 Tc 0.750 0.250 0.500  0.27
4 Mo 0.999 0.999 0.000  -0.01

V (A^3/atom): 14.626
Density (g/cm3): 9.8
Space group: Immm, No. 71



Q: What are the energies relative to the best structure? A: A 623; B 0, in meV per atom.